Mg2CoRe: optimized geometry, PBEsol.

Cell: 2.7325 4.1618 5.4579 Å, 90.00 103.50 90.00°
With the nearest neighbours (Å) after each atom.
Element x y z (fractional)
1 Mg 0.0000 0.0000 0.0000  1 Co 2.56, 4 Mg 2.73-2.83, 2 Re 2.77
2 Mg 0.3217 0.5000 0.7224  3 Re 2.68-2.91, 2 Co 2.72, 6 Mg 2.73-2.96
3 Co 0.5505 0.0000 0.4485  2 Re 2.38, 1 Mg 2.56
4 Re 0.6938 0.5000 0.2652  2 Co 2.38

Properties
**M_tot**: 0.00 Bohr magnetons per cell
**N(E_F)**: 0.78 states/eV/atom
**Space group**: Pm, No. 6
**Offset from the most stable computed form**: 217 meV per atom